The following is a PBE-GGA calculation of an optimized crystal structure of Sm6In3Hg, from the Alexandria database.

V = 289 Å³/f.u.
relative energy among the computed polymorphs = 0.000 eV per atom
energy of formation from the pure elements = -0.373 eV per atom
total magnetic moment = 0.000 μB/atom

a = 9.500 Å, b = 5.397 Å, c = 11.854 Å
α = 90.00°, β = 107.76°, γ = 90.00°
Element x y z (fractional)
Sm 0.039 0.250 0.413
Sm 0.163 0.750 0.176
Sm 0.252 0.250 0.000
Sm 0.344 0.750 0.805
Sm 0.369 0.250 0.344
Sm 0.408 0.250 0.622
Sm 0.592 0.750 0.378
Sm 0.631 0.750 0.656
Sm 0.656 0.250 0.195
Sm 0.748 0.750 0.000
Sm 0.837 0.250 0.824
Sm 0.961 0.750 0.587
In 0.032 0.750 0.880
In 0.122 0.250 0.715
In 0.272 0.750 0.473
In 0.728 0.250 0.527
In 0.878 0.750 0.285
In 0.968 0.250 0.120
Hg 0.458 0.750 0.100
Hg 0.542 0.250 0.900